(1)
A plane-wave DFT calculation with PBE-GGA was carried out for crystalline YZn2BRu2 at its relaxed geometry.

Cell lengths 4.1997, 4.1997, 5.3621 Å; angles 90.00, 90.00, 90.00 degrees
Last column: nearest neighbours and their distance in Å.
Sites, in units of the cell vectors:
B1 0.0000 0.0000 0.0000  4 Ru 2.10
Zn1 0.5000 0.5000 0.7267  1 Zn 2.43, 4 Ru 2.56
Zn2 0.5000 0.5000 0.2733  1 Zn 2.43, 4 Ru 2.56
Y1 0.0000 0.0000 0.5000  2 B 2.68
Ru1 0.5000 0.0000 0.0000  2 B 2.10
Ru2 0.0000 0.5000 0.0000  2 B 2.10

Calculated values
Electronic total energy in eV per atom: -6.0831
V in Å³ per atom: 15.76
Total magnetic moment in μB/cell: 0.00
SG: P4/mmm

=====

(2)
A plane-wave DFT calculation with PBE-GGA was carried out for crystalline Be2PtSe2 at its relaxed geometry.

Cell lengths 3.8578, 3.8578, 5.9208 Å; angles 70.99, 70.99, 90.00 degrees
Last column: nearest neighbours and their distance in Å.
Sites, in units of the cell vectors:
Pt1 0.0000 0.0000 0.0000  8 Be 2.94, 8 Se 3.26
Be1 0.3969 0.3969 0.2062  1 Be 2.17
Be2 0.6031 0.6031 0.7938  1 Be 2.17
Se1 0.7500 0.2500 0.5000  4 Be 2.47, 4 Se 2.73
Se2 0.2500 0.7500 0.5000  4 Be 2.47, 4 Se 2.73

Calculated values
Electronic total energy in eV per atom: -3.5484
Energy relative to the lowest polymorph listed for this composition in meV per atom: 369
V in Å³ per atom: 15.64
Total magnetic moment in μB/cell: 0.00
Formation energy without anion corrections in eV per atom: 0.544
SG: I4/mmm